# 1
BaCd6Pd4: relaxed, GGA-PBE.

The structure in CIF format:
```
data_BaCd6Pd4
_space_group_name_H-M_alt 'I -4 2 m'
_space_group_IT_number 121
_space_group_name_Hall 'I -4 2'
_cell_length_a 7.153
_cell_length_b 7.153
_cell_length_c 10.212
_cell_angle_alpha 90.00
_cell_angle_beta 90.00
_cell_angle_gamma 90.00
loop_
_atom_site_label
_atom_site_type_symbol
_atom_site_fract_x
_atom_site_fract_y
_atom_site_fract_z
Ba1 Ba 0.000 0.000 0.000
Cd1 Cd 0.000 0.500 0.000
Cd2 Cd 0.190 0.190 0.299
Pd1 Pd 0.164 0.164 0.577
```

Values from the calculation:
The calculation puts the density of states at the Fermi level at 0.47 states/eV/atom. As for the energy relative to the elements: -314 meV/atom.



# 2
Ba3Cd3Pd2: relaxed, GGA-PBE.

The structure in CIF format:
```
data_Ba3Cd3Pd2
_space_group_name_H-M_alt 'C m c m'
_space_group_IT_number 63
_space_group_name_Hall '-C 2c 2'
_cell_length_a 4.633
_cell_length_b 12.112
_cell_length_c 17.867
_cell_angle_alpha 90.00
_cell_angle_beta 90.00
_cell_angle_gamma 90.00
loop_
_atom_site_label
_atom_site_type_symbol
_atom_site_fract_x
_atom_site_fract_y
_atom_site_fract_z
Ba1 Ba 0.000 0.060 0.104
Ba2 Ba 0.000 0.345 0.250
Cd1 Cd 0.000 0.337 0.035
Cd2 Cd 0.000 0.360 0.750
Pd1 Pd 0.000 0.234 0.615
```

Values from the calculation:
The calculation puts the density of states at the Fermi level at 0.65 states/eV/atom. As for the energy relative to the elements: -458 meV/atom.



# 3
Ba2CdPd3: relaxed, GGA-PBE.

The structure in CIF format:
```
data_Ba2CdPd3
_space_group_name_H-M_alt 'F m m m'
_space_group_IT_number 69
_space_group_name_Hall '-F 2 2'
_cell_length_a 8.967
_cell_length_b 9.407
_cell_length_c 16.154
_cell_angle_alpha 90.00
_cell_angle_beta 90.00
_cell_angle_gamma 90.00
loop_
_atom_site_label
_atom_site_type_symbol
_atom_site_fract_x
_atom_site_fract_y
_atom_site_fract_z
Ba1 Ba 0.241 0.000 0.000
Ba2 Ba 0.250 0.250 0.250
Cd1 Cd 0.000 0.000 0.335
Pd1 Pd 0.000 0.000 0.167
Pd2 Pd 0.000 0.248 0.084
```

Values from the calculation:
The calculation puts the density of states at the Fermi level at 0.41 states/eV/atom. As for the energy relative to the elements: -468 meV/atom. The calculation puts the polymorph energy (0 for the lowest one) at 0.0 meV/atom.



# 4
Ba6CdPd3: relaxed, GGA-PBE.

The structure in CIF format:
```
data_Ba6CdPd3
_space_group_name_H-M_alt 'P 1 21/m 1'
_space_group_IT_number 11
_space_group_name_Hall '-P 2yb'
_cell_length_a 11.800
_cell_length_b 4.582
_cell_length_c 16.443
_cell_angle_alpha 90.00
_cell_angle_beta 110.31
_cell_angle_gamma 90.00
loop_
_atom_site_label
_atom_site_type_symbol
_atom_site_fract_x
_atom_site_fract_y
_atom_site_fract_z
Ba1 Ba 0.024 0.250 0.113
Ba2 Ba 0.058 0.750 0.411
Ba3 Ba 0.233 0.250 0.811
Ba4 Ba 0.332 0.250 0.590
Ba5 Ba 0.345 0.250 0.336
Ba6 Ba 0.358 0.750 0.071
Cd1 Cd 0.426 0.750 0.768
Pd1 Pd 0.165 0.250 0.981
Pd2 Pd 0.165 0.750 0.647
Pd3 Pd 0.420 0.750 0.478
```

Values from the calculation:
The calculation puts the density of states at the Fermi level at 0.77 states/eV/atom. As for the energy relative to the elements: -381 meV/atom.



# 5
Ba2Cd5Pd4: relaxed, GGA-PBE.

The structure in CIF format:
```
data_Ba2Cd5Pd4
_space_group_name_H-M_alt 'C 1 2/m 1'
_space_group_IT_number 12
_space_group_name_Hall '-C 2y'
_cell_length_a 13.724
_cell_length_b 6.066
_cell_length_c 8.616
_cell_angle_alpha 90.00
_cell_angle_beta 126.59
_cell_angle_gamma 90.00
loop_
_atom_site_label
_atom_site_type_symbol
_atom_site_fract_x
_atom_site_fract_y
_atom_site_fract_z
Ba1 Ba 0.227 0.000 0.294
Cd1 Cd 0.000 0.500 0.000
Cd2 Cd 0.050 0.246 0.753
Pd1 Pd 0.125 0.000 0.557
Pd2 Pd 0.224 0.500 0.054
```

Values from the calculation:
The calculation puts the density of states at the Fermi level at 0.48 states/eV/atom. As for the energy relative to the elements: -380 meV/atom. The calculation puts the polymorph energy (0 for the lowest one) at 41.3 meV/atom.



# 6
Ba4CdPd3: relaxed, GGA-PBE.

The structure in CIF format:
```
data_Ba4CdPd3
_space_group_name_H-M_alt 'P m m 2'
_space_group_IT_number 25
_space_group_name_Hall 'P 2 -2'
_cell_length_a 4.585
_cell_length_b 4.816
_cell_length_c 12.253
_cell_angle_alpha 90.00
_cell_angle_beta 90.00
_cell_angle_gamma 90.00
loop_
_atom_site_label
_atom_site_type_symbol
_atom_site_fract_x
_atom_site_fract_y
_atom_site_fract_z
Ba1 Ba 0.000 0.000 0.000
Ba2 Ba 0.000 0.500 0.257
Ba3 Ba 0.500 0.000 0.470
Ba4 Ba 0.500 0.500 0.771
Cd1 Cd 0.000 0.000 0.684
Pd1 Pd 0.000 0.500 0.560
Pd2 Pd 0.500 0.000 0.197
Pd3 Pd 0.500 0.500 0.058
```

Values from the calculation:
The calculation puts the density of states at the Fermi level at 0.57 states/eV/atom. As for the energy relative to the elements: -467 meV/atom.



# 7
BaPmCdPd: relaxed, GGA-PBE.

The structure in CIF format:
```
data_BaPmCdPd
_space_group_name_H-M_alt 'F -4 3 m'
_space_group_IT_number 216
_space_group_name_Hall 'F -4 2 3'
_cell_length_a 7.765
_cell_length_b 7.765
_cell_length_c 7.765
_cell_angle_alpha 90.00
_cell_angle_beta 90.00
_cell_angle_gamma 90.00
loop_
_atom_site_label
_atom_site_type_symbol
_atom_site_fract_x
_atom_site_fract_y
_atom_site_fract_z
Ba1 Ba 0.000 0.000 0.000
Pm1 Pm 0.000 0.000 0.500
Cd1 Cd 0.250 0.250 0.750
Pd1 Pd 0.250 0.250 0.250
```

Values from the calculation:
The calculation puts the density of states at the Fermi level at 0.89 states/eV/atom. As for the energy relative to the elements: -291 meV/atom.



# 8
BaPrCdPd: relaxed, GGA-PBE.

The structure in CIF format:
```
data_BaPrCdPd
_space_group_name_H-M_alt 'F -4 3 m'
_space_group_IT_number 216
_space_group_name_Hall 'F -4 2 3'
_cell_length_a 7.818
_cell_length_b 7.818
_cell_length_c 7.818
_cell_angle_alpha 90.00
_cell_angle_beta 90.00
_cell_angle_gamma 90.00
loop_
_atom_site_label
_atom_site_type_symbol
_atom_site_fract_x
_atom_site_fract_y
_atom_site_fract_z
Ba1 Ba 0.000 0.000 0.000
Pr1 Pr 0.000 0.000 0.500
Cd1 Cd 0.250 0.250 0.250
Pd1 Pd 0.250 0.250 0.750
```

Values from the calculation:
The calculation puts the density of states at the Fermi level at 0.91 states/eV/atom. As for the energy relative to the elements: -300 meV/atom.



# 9
BaCdPdPt: relaxed, GGA-PBE.

The structure in CIF format:
```
data_BaCdPdPt
_space_group_name_H-M_alt 'C 1 m 1'
_space_group_IT_number 8
_space_group_name_Hall 'C -2y'
_cell_length_a 8.206
_cell_length_b 4.735
_cell_length_c 6.071
_cell_angle_alpha 90.00
_cell_angle_beta 116.51
_cell_angle_gamma 90.00
loop_
_atom_site_label
_atom_site_type_symbol
_atom_site_fract_x
_atom_site_fract_y
_atom_site_fract_z
Ba1 Ba 0.000 0.000 0.000
Cd1 Cd 0.005 0.500 0.515
Pd1 Pd 0.308 0.500 0.424
Pt1 Pt 0.195 0.000 0.583
```

Values from the calculation:
The calculation puts the density of states at the Fermi level at 0.27 states/eV/atom. As for the energy relative to the elements: -550 meV/atom.



# 10
BaCdPdPt2: relaxed, GGA-PBE.

The structure in CIF format:
```
data_BaCdPdPt2
_space_group_name_H-M_alt 'P 4/m m m'
_space_group_IT_number 123
_space_group_name_Hall '-P 4 2'
_cell_length_a 5.142
_cell_length_b 5.142
_cell_length_c 4.969
_cell_angle_alpha 90.00
_cell_angle_beta 90.00
_cell_angle_gamma 90.00
loop_
_atom_site_label
_atom_site_type_symbol
_atom_site_fract_x
_atom_site_fract_y
_atom_site_fract_z
Ba1 Ba 0.000 0.000 0.000
Cd1 Cd 0.500 0.500 0.000
Pd1 Pd 0.500 0.500 0.500
Pt1 Pt 0.000 0.500 0.500
```

Values from the calculation:
The calculation puts the density of states at the Fermi level at 0.87 states/eV/atom. As for the energy relative to the elements: -6 meV/atom.



# 11
Ba6Cd2PdPt: relaxed, GGA-PBE.

The structure in CIF format:
```
data_Ba6Cd2PdPt
_space_group_name_H-M_alt 'P 1 21/c 1'
_space_group_IT_number 14
_space_group_name_Hall '-P 2ybc'
_cell_length_a 8.160
_cell_length_b 8.931
_cell_length_c 14.557
_cell_angle_alpha 90.00
_cell_angle_beta 124.03
_cell_angle_gamma 90.00
loop_
_atom_site_label
_atom_site_type_symbol
_atom_site_fract_x
_atom_site_fract_y
_atom_site_fract_z
Ba1 Ba 0.126 0.185 0.445
Ba2 Ba 0.267 0.689 0.445
Ba3 Ba 0.367 0.023 0.251
Cd1 Cd 0.207 0.102 0.750
Pd1 Pd 0.000 0.000 0.000
Pt1 Pt 0.500 0.000 0.500
```

Values from the calculation:
The calculation puts the density of states at the Fermi level at 0.60 states/eV/atom. As for the energy relative to the elements: -418 meV/atom.



# 12
BaCd3PdPt: relaxed, GGA-PBE.

The structure in CIF format:
```
data_BaCd3PdPt
_space_group_name_H-M_alt 'C m c m'
_space_group_IT_number 63
_space_group_name_Hall '-C 2c 2'
_cell_length_a 8.704
_cell_length_b 11.865
_cell_length_c 6.351
_cell_angle_alpha 90.00
_cell_angle_beta 90.00
_cell_angle_gamma 90.00
loop_
_atom_site_label
_atom_site_type_symbol
_atom_site_fract_x
_atom_site_fract_y
_atom_site_fract_z
Ba1 Ba 0.000 0.214 0.250
Cd1 Cd 0.000 0.297 0.750
Cd2 Cd 0.243 0.000 0.000
Pd1 Pd 0.000 0.069 0.750
Pt1 Pt 0.000 0.480 0.250
```

Values from the calculation:
The calculation puts the density of states at the Fermi level at 0.36 states/eV/atom. As for the energy relative to the elements: -307 meV/atom.



Question: Which of these has the highest energy relative to the elements?
Answer: BaCdPdPt2



Repeat the sixth record exactly.
Ba4CdPd3: relaxed, GGA-PBE.

The structure in CIF format:
```
data_Ba4CdPd3
_space_group_name_H-M_alt 'P m m 2'
_space_group_IT_number 25
_space_group_name_Hall 'P 2 -2'
_cell_length_a 4.585
_cell_length_b 4.816
_cell_length_c 12.253
_cell_angle_alpha 90.00
_cell_angle_beta 90.00
_cell_angle_gamma 90.00
loop_
_atom_site_label
_atom_site_type_symbol
_atom_site_fract_x
_atom_site_fract_y
_atom_site_fract_z
Ba1 Ba 0.000 0.000 0.000
Ba2 Ba 0.000 0.500 0.257
Ba3 Ba 0.500 0.000 0.470
Ba4 Ba 0.500 0.500 0.771
Cd1 Cd 0.000 0.000 0.684
Pd1 Pd 0.000 0.500 0.560
Pd2 Pd 0.500 0.000 0.197
Pd3 Pd 0.500 0.500 0.058
```

Values from the calculation:
The calculation puts the density of states at the Fermi level at 0.57 states/eV/atom. As for the energy relative to the elements: -467 meV/atom.



What did the third record say?
Ba2CdPd3: relaxed, GGA-PBE.

The structure in CIF format:
```
data_Ba2CdPd3
_space_group_name_H-M_alt 'F m m m'
_space_group_IT_number 69
_space_group_name_Hall '-F 2 2'
_cell_length_a 8.967
_cell_length_b 9.407
_cell_length_c 16.154
_cell_angle_alpha 90.00
_cell_angle_beta 90.00
_cell_angle_gamma 90.00
loop_
_atom_site_label
_atom_site_type_symbol
_atom_site_fract_x
_atom_site_fract_y
_atom_site_fract_z
Ba1 Ba 0.241 0.000 0.000
Ba2 Ba 0.250 0.250 0.250
Cd1 Cd 0.000 0.000 0.335
Pd1 Pd 0.000 0.000 0.167
Pd2 Pd 0.000 0.248 0.084
```

Values from the calculation:
The calculation puts the density of states at the Fermi level at 0.41 states/eV/atom. As for the energy relative to the elements: -468 meV/atom. The calculation puts the polymorph energy (0 for the lowest one) at 0.0 meV/atom.



Question: Which of these has the highest density of states at the Fermi level?
Answer: BaPrCdPd